Entry from Alexandria via LeMat-Bulk: crystalline MnBO3 at its relaxed geometry (PBE with a Hubbard U).

For the energy, the calculation gives -33.7 eV/cell. The calculation puts the magnetization at 4.0 μB per cell.

```
data_MnBO3
_chemical_formula_sum 'Mn1 B1 O3'
_symmetry_space_group_name_H-M 'P m -3 m'
_symmetry_Int_Tables_number 221
_symmetry_space_group_name_Hall '-P 4 2 3'
_cell_length_a 3.396
_cell_length_b 3.396
_cell_length_c 3.396
_cell_angle_alpha 90.00
_cell_angle_beta 90.00
_cell_angle_gamma 90.00
loop_
_atom_site_label
_atom_site_type_symbol
_atom_site_fract_x
_atom_site_fract_y
_atom_site_fract_z
Mn1 Mn 0.000 0.000 0.000
B1 B 0.500 0.500 0.500
O1 O 0.000 0.500 0.500
```